Computed, not measured: TaOsS2N at its PBEsol-relaxed geometry at the meta-GGA SCAN level of DFT.

Cell and atoms, written as POSCAR:
```
TaOsS2N
1.0
4.716 0.000 0.000
0.000 4.716 0.000
0.000 0.000 3.608
Ta Os S N
1 1 2 1
Direct
0.000 0.000 0.000
0.500 0.500 0.500
0.000 0.500 0.500
0.500 0.000 0.500
0.500 0.500 0.000
```

Results
Its uncorrected formation energy is 0.73 eV/atom. The value obtained for the spin magnetization is 1.862 μB/cell.

=====

Computed, not measured: CaScCu2 at its PBEsol-relaxed geometry at the meta-GGA SCAN level of DFT.

Cell and atoms, written as POSCAR:
```
CaScCu2
1.0
3.324 0.000 0.000
0.000 3.324 0.000
0.000 0.000 6.797
Ca Sc Cu
1 1 2
Direct
0.000 0.000 0.000
0.000 0.000 0.500
0.500 0.500 0.298
0.500 0.500 0.702
```

Results
The calculation puts the energy above the most stable polymorph in this dataset at 0 meV per atom. The value obtained for the spin magnetization is 0.000 μB/cell. The formation energy is -0.779 eV per formula unit.

=====

Computed, not measured: SrCSCl2 at its PBEsol-relaxed geometry at the meta-GGA SCAN level of DFT.

Cell and atoms, written as POSCAR:
```
SrCSCl2
1.0
4.703 0.000 0.000
0.000 4.703 0.000
0.000 0.000 4.151
Sr C S Cl
1 1 1 2
Direct
0.000 0.000 0.000
0.500 0.500 0.500
0.500 0.500 0.000
0.000 0.500 0.500
0.500 0.000 0.500
```

Results
Its uncorrected formation energy is -0.32 eV/atom. The value obtained for the spin magnetization is 0.000 μB/cell.

=====

Computed, not measured: K2LaAgCl6 at its PBEsol-relaxed geometry at the meta-GGA SCAN level of DFT.

Cell and atoms, written as POSCAR:
```
K2LaAgCl6
1.0
0.000 5.365 5.365
5.365 0.000 5.365
5.365 5.365 0.000
K La Ag Cl
2 1 1 6
Direct
0.250 0.250 0.250
0.750 0.750 0.750
0.000 0.000 0.000
0.500 0.500 0.500
0.254 0.254 0.746
0.254 0.746 0.254
0.254 0.746 0.746
0.746 0.254 0.254
0.746 0.254 0.746
0.746 0.746 0.254
```

Results
Its uncorrected formation energy is -1.98 eV/atom. The value obtained for the spin magnetization is 0.000 μB/cell.

=====

Computed, not measured: ZnOF3 at its PBEsol-relaxed geometry at the meta-GGA SCAN level of DFT.

Cell and atoms, written as POSCAR:
```
ZnOF3
1.0
3.898 0.000 0.000
0.000 3.898 0.000
0.000 0.000 3.898
Zn O F
1 1 3
Direct
0.000 0.000 0.000
0.500 0.500 0.500
0.000 0.000 0.500
0.000 0.500 0.000
0.500 0.000 0.000
```

Results
Its uncorrected formation energy is -0.98 eV/atom. The value obtained for the spin magnetization is 2.986 μB/cell.

=====

Computed, not measured: CoHgAu at its PBEsol-relaxed geometry at the meta-GGA SCAN level of DFT.

Cell and atoms, written as POSCAR:
```
CoHgAu
1.0
0.000 2.997 2.997
2.997 0.000 2.997
2.997 2.997 0.000
Co Hg Au
1 1 1
Direct
0.000 0.000 0.000
0.750 0.750 0.750
0.250 0.250 0.250
```

Results
The value obtained for the spin magnetization is 1.956 μB/cell. The formation energy is 1.227 eV per formula unit.

=====

Computed, not measured: LiMg2Re at its PBEsol-relaxed geometry at the meta-GGA SCAN level of DFT.

Cell and atoms, written as POSCAR:
```
LiMg2Re
1.0
-1.385 2.409 4.848
1.385 -2.409 4.848
1.385 2.409 -4.848
Li Mg Re
1 2 1
Direct
0.000 0.000 0.000
0.246 0.746 0.500
0.512 0.512 0.000
0.761 0.261 0.500
```

Results
The value obtained for the spin magnetization is 0.000 μB/cell. The formation energy is 1.305 eV per formula unit.

=====

Computed, not measured: Rb2CdAu2 at its PBEsol-relaxed geometry at the meta-GGA SCAN level of DFT.

Cell and atoms, written as POSCAR:
```
Rb2CdAu2
1.0
7.480 0.000 0.000
0.000 7.480 0.000
0.000 0.000 5.235
Rb Cd Au
4 2 4
Direct
0.172 0.328 0.000
0.328 0.828 0.000
0.672 0.172 0.000
0.828 0.672 0.000
0.000 0.000 0.500
0.500 0.500 0.500
0.132 0.632 0.500
0.368 0.132 0.500
0.632 0.868 0.500
0.868 0.368 0.500
```

Results
The calculation puts the energy above the most stable polymorph in this dataset at 0 meV per atom. The value obtained for the spin magnetization is 0.000 μB/cell. The formation energy is -1.335 eV per formula unit.

=====

Computed, not measured: Zr2TeSe at its PBEsol-relaxed geometry at the meta-GGA SCAN level of DFT.

Cell and atoms, written as POSCAR:
```
Zr2TeSe
1.0
-2.612 2.612 8.022
2.612 -2.612 8.022
2.612 2.612 -8.022
Zr Te Se
4 2 2
Direct
0.075 0.625 0.950
0.375 0.325 0.450
0.675 0.125 0.050
0.875 0.925 0.550
0.250 0.750 0.500
0.500 0.500 0.000
0.000 0.000 0.000
0.750 0.250 0.500
```

Results
The calculation puts the energy above the most stable polymorph in this dataset at 659 meV per atom. Its uncorrected formation energy is -0.49 eV/atom. The value obtained for the spin magnetization is 5.639 μB/cell.

=====

Computed, not measured: YSiTe2I at its PBEsol-relaxed geometry at the meta-GGA SCAN level of DFT.

Cell and atoms, written as POSCAR:
```
YSiTe2I
1.0
5.804 0.000 0.000
0.000 5.804 0.000
0.000 0.000 5.663
Y Si Te I
1 1 2 1
Direct
0.000 0.000 0.000
0.500 0.500 0.500
0.000 0.500 0.000
0.500 0.000 0.000
0.000 0.000 0.500
```

Results
Its uncorrected formation energy is 0.10 eV/atom. The value obtained for the spin magnetization is 0.147 μB/cell.

=====

Computed, not measured: TaTeP2 at its PBEsol-relaxed geometry at the meta-GGA SCAN level of DFT.

Cell and atoms, written as POSCAR:
```
TaTeP2
1.0
1.624 0.938 8.201
-1.624 0.938 8.201
0.000 -1.876 8.201
Ta Te P
1 1 2
Direct
0.000 0.000 0.000
0.500 0.500 0.500
0.266 0.266 0.266
0.734 0.734 0.734
```

Results
Its uncorrected formation energy is -0.04 eV/atom. The value obtained for the spin magnetization is 0.000 μB/cell.

=====

Computed, not measured: KLa2Tc2 at its PBEsol-relaxed geometry at the meta-GGA SCAN level of DFT.

Cell and atoms, written as POSCAR:
```
KLa2Tc2
1.0
-1.772 1.772 12.411
1.772 -1.772 12.411
1.772 1.772 -12.411
K La Tc
1 2 2
Direct
0.000 0.000 0.000
0.351 0.351 0.000
0.649 0.649 0.000
0.250 0.750 0.500
0.750 0.250 0.500
```

Results
The value obtained for the spin magnetization is 0.004 μB/cell. The formation energy is 1.833 eV per formula unit.